A relaxed CsCuHgF6 crystal, computed with GGA-PBE.

The structure in extended XYZ format:
```
18
Lattice="7.816 0.000 0.000 0.000 7.680 0.000 -3.908 -3.840 5.239" Properties=species:S:1:pos:R:3 pbc="T T T"
Cs 3.908 1.920 3.664
Cs 0.000 1.920 1.575
Cu 3.908 3.840 0.000
Cu 3.908 0.000 0.000
Hg 1.954 -1.920 2.620
Hg -1.954 -1.920 2.620
F 3.908 5.760 0.094
F 3.908 -1.920 3.732
F 5.262 0.032 1.358
F 2.554 3.808 1.358
F 2.554 0.032 1.358
F 5.262 3.808 1.358
F 0.000 -1.920 5.145
F 0.000 5.760 1.508
F -1.354 3.808 3.881
F 1.354 0.032 3.881
F 1.354 3.808 3.881
F -1.354 0.032 3.881
```

Calculated values
Uncorrected formation energy   -1778 meV/atom
VASP energy   -65.0 eV per cell


A relaxed Cs3CuHg2F9 crystal, computed with GGA-PBE.

The structure in extended XYZ format:
```
15
Lattice="-1.334 -6.051 1.490 1.601 1.531 -5.975 7.550 -1.245 1.704" Properties=species:S:1:pos:R:3 pbc="T T T"
Cs 5.670 -1.828 -2.347
Cs 0.000 0.000 0.000
Cs 2.147 -3.936 -0.433
Cu 3.775 -0.622 0.852
Hg 2.016 -1.226 -3.172
Hg 5.801 -4.538 0.391
F 4.031 -5.691 1.448
F 4.891 -4.868 -1.763
F 4.747 -2.440 0.647
F 3.070 -3.324 -3.428
F 2.926 -0.896 -1.018
F 3.787 -0.073 -4.228
F -0.667 -3.025 0.745
F 0.801 0.766 -2.988
F 0.134 -2.260 -2.242
```

Calculated values
Uncorrected formation energy   -2012 meV/atom
VASP energy   -54.3 eV per cell


A relaxed CsHoCuF6 crystal, computed with GGA-PBE.

The structure in extended XYZ format:
```
18
Lattice="-2.653 -3.619 -5.908 6.517 1.874 -4.074 0.318 -3.425 6.613" Properties=species:S:1:pos:R:3 pbc="T T T"
Cs 1.831 -4.261 -2.870
Cs 2.350 -0.909 -0.498
Ho -1.168 -3.522 0.352
Ho 0.159 -1.712 3.306
Cu 1.932 -0.872 -4.991
Cu -1.326 -1.809 -2.954
F 4.081 -1.397 -5.634
F -1.293 -5.455 -0.737
F -1.248 -3.639 -3.672
F 3.036 -1.302 -3.420
F -0.221 -2.238 -1.384
F 2.009 -2.703 -5.708
F 0.101 -3.773 2.266
F 5.474 0.285 -2.632
F 5.429 -1.530 0.303
F 1.145 -3.868 0.051
F 4.402 -2.932 -1.985
F 2.173 -2.467 2.339
```

Calculated values
Uncorrected formation energy   -2942 meV/atom
VASP energy   -94.5 eV per cell